Crystalline PrY5Sc2 at its relaxed geometry. Source: Alexandria via LeMat-Bulk, functional PBE-GGA.

The calculation puts the formation energy at 1.11 eV per formula unit. The calculated total energy comes out at -6.081 eV per atom. The density of states at the Fermi level is 24.77 states/eV/cell.

The structure in extended XYZ format:
```
16
Lattice="2.6959 -5.8070 0.0000 2.6959 5.8070 0.0000 0.0000 0.0000 15.8974" Properties=species:S:1:pos:R:3 pbc="T T T"
Pr 2.6959 2.9590 11.9231
Pr 2.6959 -2.9590 3.9744
Y 2.6959 5.4482 3.9744
Y 2.6959 4.1866 8.5862
Y 2.6959 4.1866 15.2599
Y 2.6959 0.6937 9.5021
Y 2.6959 0.6937 14.3440
Y 2.6959 -0.6937 1.5534
Y 2.6959 -0.6937 6.3953
Y 2.6959 -4.1866 0.6375
Y 2.6959 -4.1866 7.3112
Y 2.6959 -5.4482 11.9231
Sc 2.6959 2.5976 2.2705
Sc 2.6959 2.5976 5.6782
Sc 2.6959 -2.5976 10.2192
Sc 2.6959 -2.5976 13.6269
```

Crystalline AcLaPu2P4 at its relaxed geometry. Source: Alexandria via LeMat-Bulk, functional PBE-GGA.

The calculation puts the formation energy at -10.06 eV per formula unit. The calculated total energy comes out at -8.676 eV per atom. The density of states at the Fermi level is 26.66 states/eV/cell.

The structure in extended XYZ format:
```
8
Lattice="7.2254 0.0000 0.0000 0.0000 4.1778 0.0000 -2.4207 0.0000 6.8196" Properties=species:S:1:pos:R:3 pbc="T T T"
Ac 0.0000 0.0000 0.0000
La 3.6127 2.0889 0.0000
Pu -1.2104 2.0889 3.4098
Pu 2.4023 0.0000 3.4098
P 0.0198 0.0000 4.9550
P 1.2478 2.0889 1.8920
P 3.5569 2.0889 4.9275
P 4.7849 0.0000 1.8645
```

Crystalline CaMgB2P at its relaxed geometry. Source: Alexandria via LeMat-Bulk, functional PBE-GGA.

The calculation puts the formation energy at 11.21 eV per formula unit. The calculated total energy comes out at -2.230 eV per atom. The density of states at the Fermi level is 3.66 states/eV/cell.

The structure in extended XYZ format:
```
5
Lattice="4.6193 0.0000 0.0000 0.0000 4.6193 0.0000 0.0000 0.0000 5.8118" Properties=species:S:1:pos:R:3 pbc="T T T"
Ca 0.0000 0.0000 0.0000
Mg 0.0000 0.0000 2.9059
B 0.0000 2.3096 0.0000
B 2.3096 0.0000 0.0000
P 2.3096 2.3096 2.9059
```

Crystalline NaV2S at its relaxed geometry. Source: Alexandria via LeMat-Bulk, functional PBE-GGA.

The calculated total energy comes out at -5.587 eV per atom. The density of states at the Fermi level is 15.41 states/eV/cell. The value obtained for the uncorrected formation energy is 0.334 eV per atom.

The structure in extended XYZ format:
```
16
Lattice="4.1971 0.0000 0.0000 0.0000 4.1971 0.0000 0.0000 0.0000 17.4823" Properties=species:S:1:pos:R:3 pbc="T T T"
Na 0.0000 1.0493 6.5559
Na 0.0000 3.1478 10.9265
Na 2.0985 1.0493 2.1853
Na 2.0985 3.1478 15.2970
V 0.0000 0.0000 0.0000
V 0.0000 2.0985 0.0000
V 1.0493 1.0493 13.1118
V 1.0493 3.1478 4.3706
V 2.0985 0.0000 8.7412
V 2.0985 2.0985 8.7412
V 3.1478 1.0493 13.1118
V 3.1478 3.1478 4.3706
S 0.0000 1.0493 15.2970
S 0.0000 3.1478 2.1853
S 2.0985 1.0493 10.9265
S 2.0985 3.1478 6.5559
```

Crystalline LaTb2Pm6Y at its relaxed geometry. Source: Alexandria via LeMat-Bulk, functional PBE-GGA.

The calculation puts the formation energy at 1.15 eV per formula unit. The calculated total energy comes out at -4.800 eV per atom. The density of states at the Fermi level is 30.10 states/eV/cell.

The structure in extended XYZ format:
```
20
Lattice="4.6148 -7.7011 0.0000 4.6148 7.7011 0.0000 -1.3686 0.0000 9.6888" Properties=species:S:1:pos:R:3 pbc="T T T"
La 3.5883 6.2535 7.2666
La 4.2726 -6.2535 2.4222
Tb 1.0541 0.7796 9.2605
Tb 1.7384 -0.7796 4.4161
Tb 6.1225 0.7796 5.2727
Tb 6.8068 -0.7796 0.4283
Pm 3.1625 6.0621 3.6716
Pm 2.4842 3.4961 1.7656
Pm 5.3827 6.0621 1.1728
Pm 3.2741 2.7574 5.3744
Pm 3.9026 2.7574 9.1588
Pm 6.0610 3.4961 3.0788
Pm 1.7999 -3.4961 6.6100
Pm 3.9584 -2.7574 0.5300
Pm 4.5869 -2.7574 4.3144
Pm 2.4782 -6.0621 8.5160
Pm 5.3767 -3.4961 7.9232
Pm 4.6984 -6.0621 6.0172
Y 4.2726 0.4239 2.4222
Y 3.5883 -0.4239 7.2666
```

Crystalline PmEuGdLu at its relaxed geometry. Source: Alexandria via LeMat-Bulk, functional PBE-GGA.

The calculation puts the formation energy at 0.53 eV per formula unit. The calculated total energy comes out at -8.274 eV per atom. The density of states at the Fermi level is 26.94 states/eV/cell.

The structure in extended XYZ format:
```
16
Lattice="8.1457 0.0000 0.0000 0.0000 8.1457 0.0000 0.0000 0.0000 8.1457" Properties=species:S:1:pos:R:3 pbc="T T T"
Pm 0.0000 0.0000 0.0000
Pm 0.0000 4.0729 4.0729
Pm 4.0729 0.0000 4.0729
Pm 4.0729 4.0729 0.0000
Eu 2.0364 2.0364 2.0364
Eu 2.0364 6.1093 6.1093
Eu 6.1093 2.0364 6.1093
Eu 6.1093 6.1093 2.0364
Gd 0.0000 0.0000 4.0729
Gd 0.0000 4.0729 0.0000
Gd 4.0729 0.0000 0.0000
Gd 4.0729 4.0729 4.0729
Lu 2.0364 2.0364 6.1093
Lu 2.0364 6.1093 2.0364
Lu 6.1093 2.0364 2.0364
Lu 6.1093 6.1093 6.1093
```

Crystalline GeW2Au at its relaxed geometry. Source: Alexandria via LeMat-Bulk, functional PBE-GGA.

The calculation puts the formation energy at 3.21 eV per formula unit. The calculated total energy comes out at -7.647 eV per atom. The density of states at the Fermi level is 13.86 states/eV/cell.

The structure in extended XYZ format:
```
16
Lattice="7.2116 0.0000 0.0000 0.0000 7.2116 0.0000 0.0000 0.0000 5.4046" Properties=species:S:1:pos:R:3 pbc="T T T"
Ge 0.0000 0.0000 0.0000
Ge 0.0000 3.6058 1.3512
Ge 3.6058 0.0000 4.0535
Ge 3.6058 3.6058 2.7023
W 1.6154 1.8029 0.6756
W 1.8029 5.2212 2.0267
W 1.8029 5.5961 4.7290
W 1.9904 1.8029 3.3779
W 5.2212 5.4087 3.3779
W 5.4087 1.6154 4.7290
W 5.4087 1.9904 2.0267
W 5.5961 5.4087 0.6756
Au 0.0000 0.0000 2.7023
Au 0.0000 3.6058 4.0535
Au 3.6058 0.0000 1.3512
Au 3.6058 3.6058 0.0000
```

Crystalline Sc2ZnAs at its relaxed geometry. Source: Alexandria via LeMat-Bulk, functional PBE-GGA.

The calculation puts the formation energy at -1.17 eV per formula unit. The calculated total energy comes out at -4.938 eV per atom. The density of states at the Fermi level is 18.88 states/eV/cell.

The structure in extended XYZ format:
```
12
Lattice="3.6931 0.0000 0.0000 -1.8466 3.1984 0.0000 0.0000 0.0000 26.4569" Properties=species:S:1:pos:R:3 pbc="T T T"
Sc 0.0000 0.0000 2.8696
Sc 0.0000 0.0000 23.5873
Sc 0.0000 2.1322 14.7683
Sc 0.0000 2.1322 20.5075
Sc 1.8466 1.0661 5.9494
Sc 1.8466 1.0661 11.6886
Zn 0.0000 0.0000 0.0000
Zn 0.0000 2.1322 17.6379
Zn 1.8466 1.0661 8.8190
As 0.0000 0.0000 13.2284
As 0.0000 2.1322 4.4095
As 1.8466 1.0661 22.0474
```